Record 1
A plane-wave DFT calculation with PBE was carried out for an optimized crystal structure of BaNd2Ga6.

Properties
Distance to the lowest polymorph of the same formula   0.100 eV per atom
Energy of formation   -0.4630 eV per atom
Spin magnetization   0.0 μB per formula unit

Unit cell a=4.6272 b=7.7961 c=7.9361 alpha=119.42 beta=106.95 gamma=90.00
With the nearest neighbours (Å) after each atom.
Element x y z (fractional)
1 Ba 0.0000 0.5000 0.0000  12 Ga 3.48-3.70
2 Ga 0.5000 0.8335 0.0000  3 Ga 2.59-2.60
3 Ga 0.3157 0.5230 0.6315  1 Ga 2.59
4 Ga 0.6843 0.8915 0.3685  1 Ga 2.59
5 Nd 0.1293 0.1293 0.2587  6 Ga 2.92-3.14
6 Ga 0.3157 0.1085 0.6315  1 Ga 2.59
7 Ga 0.5000 0.1665 0.0000  3 Ga 2.59-2.60
8 Nd 0.8707 0.8707 0.7413  6 Ga 2.92-3.14
9 Ga 0.6843 0.4770 0.3685  1 Ga 2.59

Record 2
A plane-wave DFT calculation with PBE was carried out for an optimized crystal structure of BaNd2Ga.

Properties
Distance to the lowest polymorph of the same formula   0.000 eV per atom
Energy of formation   -0.1654 eV per atom
Spin magnetization   0.0 μB per formula unit

Unit cell a=3.7755 b=3.7755 c=9.9456 alpha=90.00 beta=90.00 gamma=90.00
With the nearest neighbours (Å) after each atom.
Element x y z (fractional)
1 Ba 0.5000 0.5000 0.5000  4 Ba 3.78, 8 Nd 4.20
2 Nd 0.0000 0.0000 0.8265  4 Ga 3.18, 1 Nd 3.45
3 Ga 0.5000 0.5000 0.0000  8 Nd 3.18
4 Nd 0.0000 0.0000 0.1735  4 Ga 3.18, 1 Nd 3.45

Record 3
A plane-wave DFT calculation with PBE was carried out for an optimized crystal structure of BaNd2Ga.

Properties
Distance to the lowest polymorph of the same formula   0.073 eV per atom
Energy of formation   -0.0920 eV per atom
Spin magnetization   0.0 μB per formula unit

Unit cell a=3.8935 b=3.8935 c=11.3539 alpha=80.13 beta=80.13 gamma=60.00
With the nearest neighbours (Å) after each atom.
Element x y z (fractional)
1 Ba 0.5000 0.5000 0.5000  6 Ba 3.89, 6 Nd 4.13
2 Nd 0.2705 0.2705 0.1886  3 Ga 3.08
3 Nd 0.7295 0.7295 0.8114  3 Ga 3.08
4 Ga 0.0000 0.0000 0.0000  6 Nd 3.08

Record 4
A plane-wave DFT calculation with PBE was carried out for an optimized crystal structure of BaNd2Ga6.

Properties
Distance to the lowest polymorph of the same formula   0.000 eV per atom
Energy of formation   -0.5626 eV per atom
Spin magnetization   0.0 μB per formula unit

Unit cell a=4.5285 b=7.5394 c=7.5394 alpha=120.00 beta=90.00 gamma=90.00
With the nearest neighbours (Å) after each atom.
Element x y z (fractional)
1 Ga 0.5000 0.0000 0.3387  3 Ga 2.43-2.55
2 Ga 0.5000 0.3387 0.0000  3 Ga 2.43-2.55
3 Ga 0.5000 0.3387 0.3387  3 Ga 2.43-2.55
4 Ba 0.0000 0.0000 0.0000  12 Ga 3.41
5 Nd 0.0000 0.3333 0.6667  12 Ga 3.37
6 Ga 0.5000 0.0000 0.6613  3 Ga 2.43-2.55
7 Nd 0.0000 0.6667 0.3333  12 Ga 3.37
8 Ga 0.5000 0.6613 0.6613  3 Ga 2.43-2.55
9 Ga 0.5000 0.6613 0.0000  3 Ga 2.43-2.55

Record 5
A plane-wave DFT calculation with PBE was carried out for an optimized crystal structure of BaNdGa2.

Properties
Distance to the lowest polymorph of the same formula   0.000 eV per atom
Energy of formation   -0.4290 eV per atom
Spin magnetization   0.0 μB per formula unit

Unit cell a=3.8939 b=3.8939 c=7.7905 alpha=90.00 beta=90.00 gamma=90.00
With the nearest neighbours (Å) after each atom.
Element x y z (fractional)
1 Ga 0.0000 0.0000 0.2038  1 Ga 3.18, 4 Nd 3.18
2 Ga 0.0000 0.0000 0.7962  1 Ga 3.18, 4 Nd 3.18
3 Nd 0.5000 0.5000 0.0000  8 Ga 3.18
4 Ba 0.5000 0.5000 0.5000  8 Ga 3.59, 4 Ba 3.89, 2 Nd 3.90

Record 6
A plane-wave DFT calculation with PBE was carried out for an optimized crystal structure of BaNdGa2.

Properties
Distance to the lowest polymorph of the same formula   0.247 eV per atom
Energy of formation   -0.1819 eV per atom
Spin magnetization   0.0 μB per formula unit

Unit cell a=3.9740 b=3.9740 c=9.7378 alpha=78.23 beta=78.23 gamma=60.00
With the nearest neighbours (Å) after each atom.
Element x y z (fractional)
1 Ba 0.5000 0.5000 0.5000  6 Ga 3.45
2 Ga 0.7425 0.7425 0.7725  3 Nd 3.15, 3 Ba 3.45
3 Nd 0.0000 0.0000 0.0000  6 Ga 3.15
4 Ga 0.2575 0.2575 0.2275  3 Nd 3.15, 3 Ba 3.45

Record 7
A plane-wave DFT calculation with PBE was carried out for an optimized crystal structure of BaNdGa4.

Properties
Distance to the lowest polymorph of the same formula   0.097 eV per atom
Energy of formation   -0.4183 eV per atom
Spin magnetization   0.0 μB per formula unit

Unit cell a=5.8097 b=5.8097 c=5.8097 alpha=60.00 beta=60.00 gamma=60.00
With the nearest neighbours (Å) after each atom.
Element x y z (fractional)
1 Ga 0.6256 0.6256 0.1231  6 Ga 2.89-2.92
2 Ga 0.1231 0.6256 0.6256  6 Ga 2.89-2.92
3 Ga 0.6256 0.1231 0.6256  6 Ga 2.89-2.92
4 Ba 0.2500 0.2500 0.2500  12 Ga 3.41, 4 Nd 3.56
5 Nd 0.0000 0.0000 0.0000  12 Ga 3.40, 4 Ba 3.56
6 Ga 0.6256 0.6256 0.6256  6 Ga 2.89-2.92

Record 8
A plane-wave DFT calculation with PBE was carried out for an optimized crystal structure of BaNdGa4.

Properties
Distance to the lowest polymorph of the same formula   0.000 eV per atom
Energy of formation   -0.5156 eV per atom
Spin magnetization   0.0 μB per formula unit

Unit cell a=4.2927 b=6.4235 c=6.4235 alpha=92.95 beta=70.48 gamma=70.48
With the nearest neighbours (Å) after each atom.
Element x y z (fractional)
1 Ga 0.6664 0.5630 0.6042  3 Ga 2.54-2.57
2 Ga 0.3336 0.8958 0.9370  3 Ga 2.54-2.57
3 Nd 0.0000 0.5000 0.0000  12 Ga 3.29-3.61
4 Ba 0.0000 0.0000 0.5000  12 Ga 3.35-3.55
5 Ga 0.6664 0.1042 0.0630  3 Ga 2.54-2.57
6 Ga 0.3336 0.4370 0.3958  3 Ga 2.54-2.57

Record 9
A plane-wave DFT calculation with PBE was carried out for an optimized crystal structure of BaNdGaO4.

Properties
Formation energy without anion corrections   -2.617 eV per atom
Distance to the lowest polymorph of the same formula   0.061 eV per atom
Spin magnetization   0.0 μB per formula unit

Unit cell a=5.8734 b=5.9332 c=7.3080 alpha=90.00 beta=108.05 gamma=90.00
With the nearest neighbours (Å) after each atom.
Element x y z (fractional)
1 Ba 0.2904 0.2500 0.0709  2 O 2.55-2.64
2 Ga 0.2548 0.7500 0.3239  4 O 1.85-1.88
3 O 0.4506 0.7500 0.1669  1 Ga 1.86
4 O 0.9683 0.4864 0.7085  1 Ga 1.88
5 O 0.5388 0.2500 0.4259  1 Ga 1.85
6 O 0.9683 0.0136 0.7085  1 Ga 1.88
7 Nd 0.2002 0.2500 0.5414  6 O 2.37-2.52
8 O 0.0317 0.5136 0.2915  1 Ga 1.88
9 Nd 0.7998 0.7500 0.4586  6 O 2.37-2.52
10 O 0.4612 0.7500 0.5741  1 Ga 1.85
11 O 0.5494 0.2500 0.8331  1 Ga 1.86
12 Ba 0.7096 0.7500 0.9291  2 O 2.55-2.64
13 Ga 0.7452 0.2500 0.6761  4 O 1.85-1.88
14 O 0.0317 0.9864 0.2915  1 Ga 1.88

Record 10
A plane-wave DFT calculation with PBE was carried out for an optimized crystal structure of BaNdGaO4.

Properties
Formation energy without anion corrections   -2.678 eV per atom
Distance to the lowest polymorph of the same formula   0.000 eV per atom
Spin magnetization   0.0 μB per formula unit

Unit cell a=5.9164 b=7.1992 c=10.0221 alpha=90.00 beta=90.00 gamma=90.00
With the nearest neighbours (Å) after each atom.
Element x y z (fractional)
1 Ba 0.4945 0.9245 0.4223  5 O 2.61-2.92
2 Ga 0.5144 0.9669 0.0834  4 O 1.87-1.89
3 Nd 0.0121 0.2471 0.2985  7 O 2.34-2.61
4 O 0.4980 0.1032 0.9240  1 Ga 1.88
5 O 0.2458 0.4496 0.8008  1 Ga 1.89
6 Nd 0.4879 0.7529 0.7985  7 O 2.34-2.61
7 Ga 0.0144 0.5331 0.9166  4 O 1.87-1.89
8 O 0.0020 0.8968 0.4240  1 Ga 1.88
9 O 0.2549 0.0115 0.1848  1 Ga 1.87
10 O 0.3315 0.2536 0.4731  1 Ga 1.87
11 O 0.7549 0.4885 0.8152  1 Ga 1.87
12 O 0.6685 0.7536 0.0269  1 Ga 1.87
13 Ba 0.9945 0.5755 0.5777  5 O 2.61-2.92
14 O 0.8315 0.2464 0.5269  1 Ga 1.87
15 O 0.7458 0.0504 0.1992  1 Ga 1.89
16 Ga 0.9856 0.0331 0.5834  4 O 1.87-1.89
17 Nd 0.9879 0.7471 0.2015  7 O 2.34-2.61
18 Ba 0.5055 0.4245 0.0777  5 O 2.61-2.92
19 O 0.2542 0.5504 0.3008  1 Ga 1.89
20 O 0.1685 0.7464 0.9731  1 Ga 1.87
21 O 0.9980 0.3968 0.0760  1 Ga 1.88
22 Ba 0.0055 0.0755 0.9223  5 O 2.61-2.92
23 O 0.5020 0.6032 0.5760  1 Ga 1.88
24 Nd 0.5121 0.2529 0.7015  7 O 2.34-2.61
25 O 0.2451 0.9885 0.6848  1 Ga 1.87
26 O 0.7542 0.9496 0.6992  1 Ga 1.89
27 O 0.7451 0.5115 0.3152  1 Ga 1.87
28 Ga 0.4856 0.4669 0.4166  4 O 1.87-1.89

Record 11
A plane-wave DFT calculation with PBE was carried out for an optimized crystal structure of BaNdGa2Pd2.

Properties
Energy of formation   -0.7173 eV per atom
Spin magnetization   0.0 μB per formula unit

Unit cell a=4.5674 b=4.5674 c=8.1978 alpha=90.00 beta=90.00 gamma=120.00
With the nearest neighbours (Å) after each atom.
Element x y z (fractional)
1 Pd 0.6667 0.3333 0.2964  3 Ga 2.64
2 Pd 0.3333 0.6667 0.7036  3 Ga 2.64
3 Ga 0.3333 0.6667 0.2903  3 Pd 2.64
4 Nd 0.0000 0.0000 0.5000  6 Pd 3.12, 6 Ga 3.15
5 Ga 0.6667 0.3333 0.7097  3 Pd 2.64
6 Ba 0.0000 0.0000 0.0000  6 Ga 3.55, 6 Pd 3.59